1.
{"formula": "Pr5YHo2Th", "functional": "PBE-GGA", "state": "optimized geometry", "sg": "No. 63", "delta_e_f_ev_per_atom": 0.1415, "dos_at_fermi_per_ev_cell": 25.70, "total_energy_ev_per_atom": -5.0737, "lattice_angstrom": [[5.455, 0.000, 0.000], [-2.727, 10.913, 0.000], [0.000, 0.000, 10.666]], "species": ["Pr", "Th", "Y", "Y", "Ho", "Pr", "Ho", "Pr", "Ho", "Pr", "Th", "Ho", "Pr", "Pr", "Pr", "Pr", "Pr", "Pr"], "fractional_positions": [[0.500, 0.000, 0.758], [0.213, 0.426, 0.008], [0.602, 0.204, 0.008], [0.398, 0.796, 0.508], [0.887, 0.774, 0.753], [0.722, 0.445, 0.201], [0.887, 0.775, 0.264], [0.003, 0.006, 0.508], [0.113, 0.225, 0.764], [0.278, 0.555, 0.315], [0.787, 0.574, 0.508], [0.113, 0.226, 0.253], [0.626, 0.252, 0.508], [0.722, 0.445, 0.815], [0.997, 0.994, 0.008], [0.278, 0.555, 0.701], [0.500, 0.000, 0.258], [0.374, 0.748, 0.008]]}

---

2.
{"formula": "K4DyTm3Se8", "functional": "PBE-GGA", "state": "optimized geometry", "sg": "No. 166", "formation_energy_uncorrected_ev_per_fu": -28.078, "dos_at_fermi_per_ev_cell": 0.00, "total_energy_ev_per_atom": -4.8975, "lattice_angstrom": [[-1.913, -7.273, -3.631], [8.558, -2.786, 1.072], [-4.125, 2.470, 6.828]], "species": ["Dy", "Se", "K", "Se", "Se", "K", "Tm", "Se", "Se", "Tm", "Se", "Tm", "K", "K", "Se", "Se"], "fractional_positions": [[0.000, 0.500, 0.000], [0.268, 0.296, 0.032], [0.000, 0.000, 0.500], [0.764, 0.296, 0.032], [0.764, 0.296, 0.528], [0.500, 0.000, 0.000], [0.500, 0.500, 0.500], [0.734, 0.702, 0.468], [0.732, 0.704, 0.968], [0.500, 0.500, 0.000], [0.236, 0.704, 0.472], [0.000, 0.500, 0.500], [0.500, 0.000, 0.500], [0.000, 0.000, 0.000], [0.236, 0.704, 0.968], [0.266, 0.298, 0.532]]}

---

3.
{"formula": "Tl2Cd5Hg3Bi2", "functional": "PBE-GGA", "state": "optimized geometry", "sg": "No. 139", "delta_e_f_ev_per_atom": 0.1113, "dos_at_fermi_per_ev_cell": 3.54, "total_energy_ev_per_atom": -1.3866, "lattice_angstrom": [[-1.612, 2.878, -4.379], [-4.536, -3.060, -0.341], [-3.081, 8.358, 10.059]], "species": ["Cd", "Hg", "Tl", "Hg", "Cd", "Cd", "Hg", "Bi", "Bi", "Cd", "Tl", "Cd"], "fractional_positions": [[0.824, 0.324, 0.647], [0.000, 0.000, 0.000], [0.753, 0.753, 0.506], [0.113, 0.113, 0.225], [0.676, 0.176, 0.353], [0.324, 0.824, 0.647], [0.887, 0.887, 0.775], [0.380, 0.380, 0.760], [0.620, 0.620, 0.240], [0.500, 0.500, 0.000], [0.247, 0.247, 0.494], [0.176, 0.676, 0.353]]}

---

4.
{"formula": "CaSi3Se", "functional": "PBE-GGA", "state": "optimized geometry", "de_polymorph_kj_per_mol_fu": 475.8, "sg": "No. 221", "formation_energy_uncorrected_ev_per_fu": 7.826, "dos_at_fermi_per_ev_cell": 4.17, "total_energy_ev_per_atom": -2.7858, "lattice_angstrom": [[-3.042, -3.070, 3.205], [3.805, -3.804, -0.032], [2.284, 2.248, 4.322]], "species": ["Ca", "Se", "Si", "Si", "Si"], "fractional_positions": [[0.000, 0.000, 0.000], [0.500, 0.500, 0.500], [0.000, 0.000, 0.500], [0.500, 0.000, 0.000], [0.000, 0.500, 0.000]]}

---

5.
{"formula": "Sr2LaGe3Pt4", "functional": "PBE-GGA", "state": "optimized geometry", "sg": "No. 115", "delta_e_f_ev_per_atom": -0.8382, "dos_at_fermi_per_ev_cell": 4.56, "total_energy_ev_per_atom": -5.4689, "lattice_angstrom": [[-0.088, 4.457, -0.691], [-4.463, 0.014, 0.657], [1.590, 1.702, 10.772]], "species": ["Ge", "Pt", "Pt", "Pt", "Ge", "La", "Ge", "Sr", "Pt", "Sr"], "fractional_positions": [[0.000, 0.000, 0.500], [0.000, 0.500, 0.337], [0.000, 0.000, 0.000], [0.500, 0.000, 0.663], [0.000, 0.500, 0.112], [0.500, 0.500, 0.500], [0.500, 0.000, 0.888], [0.000, 0.500, 0.776], [0.500, 0.500, 0.000], [0.500, 0.000, 0.224]]}

---

6.
{"formula": "ThSbO", "functional": "PBE-GGA", "state": "optimized geometry", "de_polymorph_kj_per_mol_fu": 0.0, "sg": "No. 129", "formation_energy_uncorrected_ev_per_fu": -6.632, "dos_at_fermi_per_ev_cell": 4.24, "total_energy_ev_per_atom": -7.7107, "lattice_angstrom": [[4.060, 0.000, 0.000], [0.000, 4.060, 0.000], [0.000, 0.000, 7.840]], "species": ["Sb", "Th", "Sb", "Th", "O", "O"], "fractional_positions": [[0.000, 0.500, 0.891], [0.000, 0.500, 0.332], [0.500, 0.000, 0.109], [0.500, 0.000, 0.668], [0.000, 0.000, 0.500], [0.500, 0.500, 0.500]]}